Material: ZrBe2Cl
Method: DFT, PBE
State: relaxed

Geometry as POSCAR:
```
ZrBe2Cl
1.0
5.765 0.181 0.575
-2.242 4.321 -0.224
1.281 0.832 2.642
Be Cl Zr
2 1 1
Direct
0.500 0.000 0.500
0.000 0.000 0.000
0.000 0.500 0.500
0.500 0.500 0.000
```

## Properties
Distance to the lowest polymorph of the same formula = 537 meV/atom
ΔE_f (raw) = 0.2650 eV per atom

Material: HoNbCoRu
Method: DFT, PBE
State: relaxed

Geometry as POSCAR:
```
HoNbCoRu
1.0
-1.342 4.377 0.095
-2.527 1.695 -3.422
-4.406 1.029 0.700
Nb Ru Co Ho
1 1 1 1
Direct
0.500 0.500 0.500
0.750 0.750 0.750
0.250 0.250 0.250
0.000 0.000 0.000
```

## Properties
Energy of formation = -151 meV/atom

Material: Pm2TlAg3
Method: DFT, PBE
State: relaxed

Geometry as POSCAR:
```
Pm2TlAg3
1.0
3.994 0.000 -1.063
-0.297 3.929 -1.117
0.447 0.659 9.712
Ag Tl Pm
3 1 2
Direct
0.702 0.702 0.404
0.295 0.795 0.590
0.555 0.555 0.111
0.454 0.954 0.908
0.134 0.134 0.267
0.860 0.360 0.719
```

## Properties
Distance to the lowest polymorph of the same formula = 99 meV/atom
Energy of formation = -167 meV/atom

Material: HoTh5Sc4
Method: DFT, PBE
State: relaxed

Geometry as POSCAR:
```
HoTh5Sc4
1.0
-0.150 -1.265 -3.232
-2.862 -1.785 0.832
-13.628 18.722 -6.699
Sc Th Ho
4 5 1
Direct
0.000 0.000 0.402
0.000 0.000 0.795
0.000 0.000 0.598
0.000 0.000 0.205
0.500 0.500 0.697
0.500 0.500 0.893
0.500 0.500 0.303
0.500 0.500 0.107
0.500 0.500 0.500
0.000 0.000 0.000
```

## Properties
Energy of formation = 31 meV/atom

Material: MgMnSnS4
Method: DFT, PBE
State: relaxed

Geometry as POSCAR:
```
MgMnSnS4
1.0
7.428 0.000 0.000
3.714 6.584 0.099
3.714 2.100 6.240
Mn Sn S Mg
2 2 8 2
Direct
0.000 0.000 0.500
0.500 0.000 0.500
0.000 0.000 0.000
0.000 0.500 0.500
0.765 0.241 0.741
0.747 0.759 0.259
0.253 0.241 0.741
0.760 0.765 0.714
0.760 0.214 0.265
0.240 0.235 0.286
0.240 0.786 0.735
0.235 0.759 0.259
0.359 0.391 0.891
0.641 0.609 0.109
```

## Properties
ΔE_f (raw) = -0.7039 eV per atom

Material: CoSi2Ni
Method: DFT, PBE
State: relaxed

Geometry as POSCAR:
```
CoSi2Ni
1.0
4.034 0.000 0.000
2.017 3.494 0.000
2.017 1.165 3.294
Si Co Ni
2 1 1
Direct
0.000 0.000 0.000
0.750 0.750 0.750
0.500 0.500 0.500
0.250 0.250 0.250
```

## Properties
ΔE_f (raw) = 0.0380 eV per atom

Material: Cd3Pd6Pt
Method: DFT, PBE
State: relaxed

Geometry as POSCAR:
```
Cd3Pd6Pt
1.0
7.152 -0.028 -0.020
3.389 5.980 1.023
3.389 2.963 5.295
Pt Pd Cd
1 6 3
Direct
0.500 0.500 0.500
0.385 0.619 0.117
0.615 0.883 0.381
0.199 0.744 0.744
0.615 0.381 0.883
0.801 0.256 0.256
0.385 0.117 0.619
0.000 0.000 0.000
0.258 0.131 0.131
0.742 0.869 0.869
```

## Properties
Distance to the lowest polymorph of the same formula = 319 meV/atom
Energy of formation = 51 meV/atom

Material: CeSi2
Method: DFT, PBE
State: relaxed

Geometry as POSCAR:
```
CeSi2
1.0
-2.267 -1.600 -2.738
4.582 0.299 -3.967
3.229 -9.709 2.999
Ce Si
4 8
Direct
0.250 0.722 0.604
0.250 0.222 0.896
0.750 0.778 0.104
0.750 0.278 0.396
0.750 0.385 0.701
0.250 0.713 0.891
0.250 0.213 0.609
0.250 0.115 0.201
0.750 0.287 0.109
0.750 0.787 0.391
0.750 0.885 0.799
0.250 0.615 0.299
```

## Properties
ΔE_f (raw) = -0.4973 eV per atom

Material: LaEuBiPb
Method: DFT, PBE
State: relaxed

Geometry as POSCAR:
```
LaEuBiPb
1.0
5.708 0.000 0.000
2.854 4.944 0.000
2.854 1.648 4.661
Eu Pb Bi La
1 1 1 1
Direct
0.250 0.250 0.250
0.500 0.500 0.500
0.000 0.000 0.000
0.750 0.750 0.750
```

## Properties
Energy of formation = -612 meV/atom

Material: Sr2Si2Au
Method: DFT, PBE
State: relaxed

Geometry as POSCAR:
```
Sr2Si2Au
1.0
-2.669 3.059 1.895
-1.831 -1.817 5.652
6.597 5.557 5.620
Si Sr Au
4 4 2
Direct
0.601 0.902 0.896
0.399 0.098 0.104
0.965 0.652 0.417
0.035 0.348 0.583
0.283 0.780 0.654
0.717 0.220 0.346
0.897 0.305 0.902
0.103 0.695 0.098
0.558 0.203 0.682
0.442 0.797 0.318
```

## Properties
Distance to the lowest polymorph of the same formula = 0 meV/atom
ΔE_f (raw) = -0.5682 eV per atom

Material: CaAcCeMg
Method: DFT, PBE
State: relaxed

Geometry as POSCAR:
```
CaAcCeMg
1.0
5.835 0.000 0.000
2.917 5.053 0.000
2.917 1.684 4.764
Ca Ac Mg Ce
1 1 1 1
Direct
0.750 0.750 0.750
0.500 0.500 0.500
0.000 0.000 0.000
0.250 0.250 0.250
```

## Properties
Energy of formation = 216 meV/atom

Material: Li2Dy2Au3
Method: DFT, PBE
State: relaxed

Geometry as POSCAR:
```
Li2Dy2Au3
1.0
3.548 0.000 0.471
0.000 3.461 0.000
0.238 0.000 11.810
Au Dy Li
3 2 2
Direct
0.844 0.000 0.312
0.000 0.000 0.000
0.156 0.000 0.688
0.580 0.500 0.841
0.420 0.500 0.159
0.290 0.500 0.420
0.710 0.500 0.580
```

## Properties
Energy of formation = -626 meV/atom

Material: Tb6Pm3ErSc2
Method: DFT, PBE
State: relaxed

Geometry as POSCAR:
```
Tb6Pm3ErSc2
1.0
6.128 0.000 0.006
-3.062 5.307 0.006
-1.033 -1.788 11.480
Tb Pm Sc Er
6 3 2 1
Direct
0.745 0.745 0.241
0.919 0.583 0.759
0.417 0.081 0.241
0.583 0.919 0.759
0.255 0.255 0.759
0.081 0.417 0.241
0.500 0.500 0.500
0.167 0.833 0.500
0.833 0.167 0.500
0.667 0.333 0.000
0.333 0.667 0.000
0.000 0.000 0.000
```

## Properties
Energy of formation = 38 meV/atom